Entry 1:
Compound: InSnAu2
Source: the Alexandria database
Functional: PBE-GGA
Structure: optimized geometry

Cell: 4.8320 4.8320 3.7552 Å, 90.00 90.00 90.00°
Space group P4/mmm (No. 123)
Unique sites:
In 0.0000 0.0000 0.0000 (multiplicity 1)
Sn 0.5000 0.5000 0.0000 (multiplicity 1)
Au 0.0000 0.5000 0.5000 (multiplicity 2)

Computed properties:
D(E_F) = 0.86 states/eV/cell
Energy of formation = -0.078 eV per atom



Entry 2:
Compound: KLaSb3
Source: the Alexandria database
Functional: PBE-GGA
Structure: optimized geometry

Cell: 6.1146 6.1146 6.1146 Å, 90.00 90.00 90.00°
Space group Pm-3m (No. 221)
Unique sites:
K 0.0000 0.0000 0.0000 (multiplicity 1)
La 0.5000 0.5000 0.5000 (multiplicity 1)
Sb 0.0000 0.5000 0.5000 (multiplicity 3)

Computed properties:
D(E_F) = 4.86 states/eV/cell
Distance to the lowest polymorph of the same formula = 0.0 meV per atom
Formation energy from raw total energies = -0.024 eV/atom



Entry 3:
Compound: In2GaNiB
Source: the Alexandria database
Functional: PBE-GGA
Structure: optimized geometry

Cell: 4.8889 4.8889 4.4861 Å, 90.00 90.00 90.00°
Space group P4/mmm (No. 123)
Unique sites:
In 0.0000 0.5000 0.0000 (multiplicity 2)
Ga 0.0000 0.0000 0.5000 (multiplicity 1)
Ni 0.0000 0.0000 0.0000 (multiplicity 1)
B 0.5000 0.5000 0.5000 (multiplicity 1)

Computed properties:
D(E_F) = 3.34 states/eV/cell
Energy of formation = 0.793 eV per atom



Entry 4:
Compound: CaHfMg14
Source: the Alexandria database
Functional: PBE-GGA
Structure: optimized geometry

Cell: 9.3064 9.3461 8.6658 Å, 90.00 90.00 90.00°
Space group Cmmm (No. 65)
Unique sites:
Ca 0.0000 0.0000 0.0000 (multiplicity 2)
Hf 0.0000 0.5000 0.0000 (multiplicity 2)
Mg 0.0000 0.0000 0.5000 (multiplicity 2)
Mg 0.0000 0.2605 0.2556 (multiplicity 8)
Mg 0.0000 0.5000 0.5000 (multiplicity 2)
Mg 0.2395 0.5000 0.2560 (multiplicity 8)
Mg 0.2500 0.2500 0.0000 (multiplicity 4)
Mg 0.2500 0.2500 0.5000 (multiplicity 4)

Computed properties:
D(E_F) = 20.71 states/eV/cell
Distance to the lowest polymorph of the same formula = 0.0 meV per atom
Energy of formation = 0.036 eV per atom



Entry 5:
Compound: CeCoTcSn
Source: the Alexandria database
Functional: PBE-GGA
Structure: optimized geometry

Cell: 6.6056 6.6056 6.6056 Å, 90.00 90.00 90.00°
Space group F-43m (No. 216)
Unique sites:
Ce 0.0000 0.0000 0.0000 (multiplicity 4)
Co 0.2500 0.2500 0.7500 (multiplicity 4)
Tc 0.2500 0.2500 0.2500 (multiplicity 4)
Sn 0.0000 0.0000 0.5000 (multiplicity 4)

Computed properties:
D(E_F) = 6.41 states/eV/cell
Energy of formation = -0.143 eV per atom



Entry 6:
Compound: Sr3CoN
Source: the Alexandria database
Functional: PBE-GGA
Structure: optimized geometry

Cell: 5.2060 5.2060 5.2060 Å, 90.00 90.00 90.00°
Space group Pm-3m (No. 221)
Unique sites:
Sr 0.0000 0.0000 0.5000 (multiplicity 3)
Co 0.5000 0.5000 0.5000 (multiplicity 1)
N 0.0000 0.0000 0.0000 (multiplicity 1)

Computed properties:
D(E_F) = 3.67 states/eV/cell
Distance to the lowest polymorph of the same formula = 0.0 meV per atom
Formation energy from raw total energies = 0.078 eV/atom



Entry 7:
Compound: Co6SbMo
Source: the Alexandria database
Functional: PBE-GGA
Structure: optimized geometry

Cell: 7.2762 10.2935 10.3091 Å, 90.00 90.00 90.00°
Space group Cmmm (No. 65)
Unique sites:
Co 0.0000 0.0000 0.0000 (multiplicity 2)
Co 0.0000 0.0000 0.5000 (multiplicity 2)
Co 0.0000 0.2452 0.2430 (multiplicity 8)
Co 0.0000 0.5000 0.0000 (multiplicity 2)
Co 0.0000 0.5000 0.5000 (multiplicity 2)
Co 0.2435 0.1222 0.3708 (multiplicity 16)
Co 0.2444 0.1273 0.1208 (multiplicity 16)
Sb 0.0000 0.2502 0.5000 (multiplicity 4)
Sb 0.0000 0.5000 0.2478 (multiplicity 4)
Mo 0.0000 0.0000 0.2493 (multiplicity 4)
Mo 0.0000 0.2460 0.0000 (multiplicity 4)

Computed properties:
D(E_F) = 62.01 states/eV/cell
Formation energy from raw total energies = 0.026 eV/atom



Entry 8:
Compound: NdH4Pt
Source: the Alexandria database
Functional: PBE-GGA
Structure: optimized geometry

Cell: 3.9824 6.7254 5.0168 Å, 90.00 90.00 90.00°
Space group Pmmn (No. 59, origin choice 2)
Unique sites:
Nd 0.2500 0.2500 0.2137 (multiplicity 2)
H 0.2500 0.2500 0.7229 (multiplicity 2)
H 0.2500 0.5838 0.0090 (multiplicity 4)
H 0.2500 0.7500 0.5942 (multiplicity 2)
Pt 0.2500 0.7500 0.2653 (multiplicity 2)

Computed properties:
D(E_F) = 0.97 states/eV/cell
Calculated total energy = -4.4545 eV/atom



Entry 9:
Compound: LiSbSe2
Source: the Alexandria database
Functional: PBE-GGA
Structure: optimized geometry

Cell: 8.7151 8.4872 6.0196 Å, 90.00 90.00 90.00°
Space group Pna2_1 (No. 33)
Unique sites:
Li 0.0685 0.1223 0.0000 (multiplicity 4)
Sb 0.1156 0.5977 0.9922 (multiplicity 4)
Se 0.0547 0.1567 0.5594 (multiplicity 4)
Se 0.1222 0.6308 0.5531 (multiplicity 4)

Computed properties:
Formation energy from raw total energies = -0.578 eV/atom



Entry 10:
Compound: PrHoPt3
Source: the Alexandria database
Functional: PBE-GGA
Structure: optimized geometry

Cell: 3.8919 27.0044 4.2832 Å, 90.00 90.00 90.00°
Space group Cmcm (No. 63)
Unique sites:
Pr 0.0000 0.0746 0.2500 (multiplicity 4)
Ho 0.0000 0.2071 0.7500 (multiplicity 4)
Pt 0.0000 0.3125 0.7500 (multiplicity 4)
Pt 0.0000 0.3745 0.2500 (multiplicity 4)
Pt 0.0000 0.4715 0.2500 (multiplicity 4)

Computed properties:
D(E_F) = 13.55 states/eV/cell
Energy of formation = -1.105 eV per atom



Entry 11:
Compound: Ga5PdRh
Source: the Alexandria database
Functional: PBE-GGA
Structure: optimized geometry

Cell: 10.9441 7.2253 9.3218 Å, 90.00 118.72 90.00°
Space group C2/c (No. 15)
Unique sites:
Ga 0.0000 0.0763 0.2500 (multiplicity 4)
Ga 0.0054 0.3294 0.9569 (multiplicity 8)
Ga 0.2476 0.0312 0.6250 (multiplicity 8)
Pd 0.0000 0.4375 0.2500 (multiplicity 4)
Rh 0.0000 0.0000 0.0000 (multiplicity 4)

Computed properties:
D(E_F) = 9.32 states/eV/cell
Energy of formation = -0.207 eV per atom



Entry 12:
Compound: TaAlTl
Source: the Alexandria database
Functional: PBE-GGA
Structure: optimized geometry

Cell: 3.9528 4.3881 14.0052 Å, 90.00 90.00 90.00°
Space group Fmm2 (No. 42)
Unique sites:
Ta 0.0000 0.0000 0.0000 (multiplicity 4)
Al 0.0000 0.0000 0.3640 (multiplicity 4)
Tl 0.0000 0.0000 0.6790 (multiplicity 4)

Computed properties:
D(E_F) = 5.63 states/eV/cell
Distance to the lowest polymorph of the same formula = 46.5 meV per atom
Energy of formation = 0.344 eV per atom



Entry 13:
Compound: NiOsCl2
Source: the Alexandria database
Functional: PBE-GGA
Structure: optimized geometry

Cell: 5.5195 5.5195 9.3634 Å, 90.00 90.00 90.00°
Space group I-42d (No. 122)
Unique sites:
Ni 0.0000 0.0000 0.0000 (multiplicity 4)
Os 0.0000 0.0000 0.5000 (multiplicity 4)
Cl 0.2342 0.2500 0.1250 (multiplicity 8)

Computed properties:
D(E_F) = 7.24 states/eV/cell
Distance to the lowest polymorph of the same formula = 690.2 meV per atom
Formation energy from raw total energies = 0.896 eV/atom



Entry 14:
Compound: Mn2NiHg
Source: the Alexandria database
Functional: PBE-GGA
Structure: optimized geometry

Cell: 3.0402 3.0402 6.3525 Å, 90.00 90.00 90.00°
Space group P4mm (No. 99)
Unique sites:
Mn 0.0000 0.0000 0.0000 (multiplicity 1)
Mn 0.5000 0.5000 0.2391 (multiplicity 1)
Ni 0.0000 0.0000 0.4298 (multiplicity 1)
Hg 0.5000 0.5000 0.7091 (multiplicity 1)

Computed properties:
D(E_F) = 3.68 states/eV/cell
Energy of formation = 0.252 eV per atom



Entry 15:
Compound: Tb12Cd5As3
Source: the Alexandria database
Functional: PBE-GGA
Structure: optimized geometry

Cell: 17.3318 17.3318 17.3318 Å, 90.00 90.00 90.00°
Space group Ia-3d (No. 230)
Unique sites:
Tb 0.0144 0.0796 0.6492 (multiplicity 96)
Cd 0.0000 0.0000 0.0000 (multiplicity 16)
Cd 0.0000 0.2500 0.3750 (multiplicity 24)
As 0.0000 0.2500 0.1250 (multiplicity 24)

Computed properties:
D(E_F) = 194.92 states/eV/cell
Energy of formation = 0.004 eV per atom



Entry 16:
Compound: Tl2In5Ga3
Source: the Alexandria database
Functional: PBE-GGA
Structure: optimized geometry

Cell: 4.9918 27.5961 7.5730 Å, 90.00 90.00 90.00°
Space group Cmc2_1 (No. 36)
Unique sites:
Tl 0.0000 0.0212 0.0000 (multiplicity 4)
Tl 0.0000 0.3268 0.0310 (multiplicity 4)
In 0.0000 0.0981 0.3548 (multiplicity 4)
In 0.0000 0.2066 0.2445 (multiplicity 4)
In 0.0000 0.2080 0.8254 (multiplicity 4)
In 0.0000 0.3792 0.5042 (multiplicity 4)
In 0.0000 0.4476 0.1602 (multiplicity 4)
Ga 0.0000 0.1074 0.7456 (multiplicity 4)
Ga 0.0000 0.2759 0.5353 (multiplicity 4)
Ga 0.0000 0.4533 0.7749 (multiplicity 4)

Computed properties:
D(E_F) = 16.02 states/eV/cell
Energy of formation = 0.033 eV per atom



Entry 17:
Compound: Ta2TePt
Source: the Alexandria database
Functional: PBE-GGA
Structure: optimized geometry

Cell: 3.0798 3.0798 27.3571 Å, 90.00 90.00 120.00°
Space group R-3m (No. 166, hexagonal axes)
Unique sites:
Ta 0.0000 0.0000 0.2472 (multiplicity 6)
Te 0.0000 0.0000 0.0000 (multiplicity 3)
Pt 0.0000 0.0000 0.5000 (multiplicity 3)

Computed properties:
D(E_F) = 21.46 states/eV/cell
Formation energy from raw total energies = 0.144 eV/atom



Entry 18:
Compound: CsRbTiTe3
Source: the Alexandria database
Functional: PBE-GGA
Structure: optimized geometry

Cell: 8.4974 17.0294 7.5714 Å, 90.00 104.24 90.00°
Space group C2/c (No. 15)
Unique sites:
Cs 0.0000 0.2371 0.2500 (multiplicity 4)
Rb 0.0000 0.4059 0.7500 (multiplicity 4)
Ti 0.0000 0.0446 0.7500 (multiplicity 4)
Te 0.0000 0.1982 0.7500 (multiplicity 4)
Te 0.2063 0.0419 0.5043 (multiplicity 8)

Computed properties:
Formation energy from raw total energies = -0.895 eV/atom



Entry 19:
Compound: Sc2PaCrC4
Source: the Alexandria database
Functional: PBE-GGA
Structure: optimized geometry

Cell: 3.3178 11.2964 11.2324 Å, 90.00 90.00 90.00°
Space group Cmcm (No. 63)
Unique sites:
Sc 0.0000 0.1281 0.0434 (multiplicity 8)
Pa 0.0000 0.4044 0.2500 (multiplicity 4)
Cr 0.0000 0.3329 0.7500 (multiplicity 4)
C 0.0000 0.0704 0.2500 (multiplicity 4)
C 0.0000 0.2302 0.6294 (multiplicity 8)
C 0.0000 0.5000 0.0000 (multiplicity 4)

Computed properties:
D(E_F) = 14.94 states/eV/cell
Energy of formation = -0.244 eV per atom